--- i ---
Here is a relaxed structure of PrTmCl from the Alexandria database. Energies are from PBE.

The structure belongs to space group Pmmn (No. 59, origin choice 2); the cell edges are 3.881, 4.425 and 9.829 Å and the angles 90.00°, 90.00° and 90.00°. The inequivalent atoms are Pr at (0.250, 0.250, 0.201), Tm at (0.250, 0.250, 0.572) and Cl at (0.250, 0.250, 0.878).

The volume comes out at 28.1 Å³ per atom.

***

--- ii ---
Here is a relaxed structure of PrTmCl from the Alexandria database. Energies are from PBE.

The structure belongs to space group P3m1 (No. 156); the cell edges are 3.6853, 3.6853 and 7.2481 Å and the angles 90.00°, 90.00° and 120.00°. The inequivalent atoms are Pr at (0.0000, 0.0000, 0.0000), Tm at (0.6667, 0.3333, 0.6208) and Cl at (0.3333, 0.6667, 0.3382).

The volume comes out at 28.4 Å³ per atom.

***

How far above the most stable structure does each one sit? In meV/atom: i 9; ii 0.

***

--- i ---
Here is a relaxed structure of PrYCl6 from the Alexandria database. Energies are from PBE.

The structure belongs to space group C2/m (No. 12); the cell edges are 7.074, 12.235 and 7.339 Å and the angles 90.00°, 90.76° and 90.00°. The inequivalent atoms are Pr at (0.000, 0.000, 0.000), Y at (0.000, 0.000, 0.500), Cl at (0.143, 0.144, 0.740) and Cl at (0.213, 0.500, 0.734).

The volume comes out at 39.7 Å³ per atom.

***

--- ii ---
Here is a relaxed structure of PrYCl6 from the Alexandria database. Energies are from PBE.

The structure belongs to space group R-3 (No. 148, hexagonal axes); the cell edges are 6.8513, 6.8513 and 18.8083 Å and the angles 90.00°, 90.00° and 120.00°. The inequivalent atoms are Pr at (0.0000, 0.0000, 0.0000), Y at (0.0000, 0.0000, 0.5000) and Cl at (0.0092, 0.6535, 0.2481).

The volume comes out at 31.9 Å³ per atom.

***

How far above the most stable structure does each one sit? In meV/atom: i 44; ii 0.

***

--- i ---
Here is a relaxed structure of Pr2ZnCl from the Alexandria database. Energies are from PBE.

The structure belongs to space group R3m (No. 160, hexagonal axes); the cell edges are 3.7821, 3.7821 and 26.1452 Å and the angles 90.00°, 90.00° and 120.00°. The inequivalent atoms are Pr at (0.0000, 0.0000, 0.0000), Pr at (0.0000, 0.0000, 0.1692), Zn at (0.0000, 0.0000, 0.5844) and Cl at (0.0000, 0.0000, 0.7518).

The volume comes out at 27.0 Å³ per atom.

***

--- ii ---
Here is a relaxed structure of Pr2ZnCl from the Alexandria database. Energies are from PBE.

The structure belongs to space group R-3m (No. 166, hexagonal axes); the cell edges are 4.1920, 4.1920 and 21.4042 Å and the angles 90.00°, 90.00° and 120.00°. The inequivalent atoms are Pr at (0.0000, 0.0000, 0.2487), Zn at (0.0000, 0.0000, 0.0000) and Cl at (0.0000, 0.0000, 0.5000).

The volume comes out at 27.1 Å³ per atom.

***

--- iii ---
Here is a relaxed structure of Pr2ZnCl from the Alexandria database. Energies are from PBE.

The structure belongs to space group P4/mmm (No. 123); the cell edges are 3.541, 3.541 and 8.137 Å and the angles 90.00°, 90.00° and 90.00°. The inequivalent atoms are Pr at (0.000, 0.000, 0.233), Zn at (0.500, 0.500, 0.000) and Cl at (0.500, 0.500, 0.500).

The volume comes out at 25.5 Å³ per atom.

***

How far above the most stable structure does each one sit? In meV/atom: i 19; ii 0; iii 63.

***

--- i ---
Here is a relaxed structure of PrZnCl from the Alexandria database. Energies are from PBE.

The structure belongs to space group R-3m (No. 166, hexagonal axes); the cell edges are 4.1978, 4.1978 and 33.1791 Å and the angles 90.00°, 90.00° and 120.00°. The inequivalent atoms are Pr at (0.0000, 0.0000, 0.0669), Zn at (0.0000, 0.0000, 0.3389) and Cl at (0.0000, 0.0000, 0.2171).

The volume comes out at 28.1 Å³ per atom.

***

--- ii ---
Here is a relaxed structure of PrZnCl from the Alexandria database. Energies are from PBE.

The structure belongs to space group C2/m (No. 12); the cell edges are 20.560, 4.037 and 7.528 Å and the angles 90.00°, 102.07° and 90.00°. The inequivalent atoms are Pr at (0.107, 0.000, 0.434), Pr at (0.168, 0.000, 0.974), Zn at (0.205, 0.500, 0.699), Zn at (0.232, 0.500, 0.373), Cl at (0.039, 0.000, 0.721) and Cl at (0.088, 0.500, 0.137).

The volume comes out at 25.5 Å³ per atom.

***

How far above the most stable structure does each one sit? In meV/atom: i 0; ii 82.

***

--- i ---
Here is a relaxed structure of Pt3Cl from the Alexandria database. Energies are from PBE.

The structure belongs to space group Cmmm (No. 65); the cell edges are 2.822, 5.117 and 9.025 Å and the angles 90.00°, 90.00° and 90.00°. The inequivalent atoms are Pt at (0.000, 0.000, 0.000), Pt at (0.000, 0.500, 0.255) and Cl at (0.000, 0.000, 0.500).

The volume comes out at 16.3 Å³ per atom.

***

--- ii ---
Here is a relaxed structure of Pt3Cl from the Alexandria database. Energies are from PBE.

The structure belongs to space group P4/mmm (No. 123); the cell edges are 3.037, 3.037 and 7.320 Å and the angles 90.00°, 90.00° and 90.00°. The inequivalent atoms are Pt at (0.000, 0.000, 0.000), Pt at (0.500, 0.500, 0.228) and Cl at (0.000, 0.000, 0.500).

The volume comes out at 16.9 Å³ per atom.

***

How far above the most stable structure does each one sit? In meV/atom: i 0; ii 85.

***

--- i ---
Here is a relaxed structure of Pt3Cl from the Alexandria database. Energies are from PBE.

The structure belongs to space group Cmmm (No. 65); the cell edges are 6.872, 6.915 and 2.768 Å and the angles 90.00°, 90.00° and 90.00°. The inequivalent atoms are Pt at (0.000, 0.000, 0.000), Pt at (0.250, 0.250, 0.500) and Cl at (0.000, 0.500, 0.000).

The volume comes out at 16.4 Å³ per atom.

***

--- ii ---
Here is a relaxed structure of Pt3Cl from the Alexandria database. Energies are from PBE.

The structure belongs to space group Imm2 (No. 44); the cell edges are 2.775, 11.550 and 4.374 Å and the angles 90.00°, 90.00° and 90.00°. The inequivalent atoms are Pt at (0.000, 0.000, 0.000), Pt at (0.000, 0.282, 0.499) and Cl at (0.000, 0.500, 0.000).

The volume comes out at 17.5 Å³ per atom.

***

How far above the most stable structure does each one sit? In meV/atom: i 80; ii 0.

***

--- i ---
Here is a relaxed structure of Pt3Cl from the Alexandria database. Energies are from PBE.

The structure belongs to space group Pmmm (No. 47); the cell edges are 2.833, 3.481 and 6.935 Å and the angles 90.00°, 90.00° and 90.00°. The inequivalent atoms are Pt at (0.000, 0.000, 0.000), Pt at (0.500, 0.500, 0.227) and Cl at (0.500, 0.000, 0.500).

The volume comes out at 17.1 Å³ per atom.

***

--- ii ---
Here is a relaxed structure of Pt3Cl from the Alexandria database. Energies are from PBE.

The structure belongs to space group Fm-3m (No. 225); the cell edges are 6.398, 6.398 and 6.398 Å and the angles 90.00°, 90.00° and 90.00°. The inequivalent atoms are Pt at (0.000, 0.000, 0.000), Pt at (0.250, 0.250, 0.250) and Cl at (0.000, 0.000, 0.500).

The volume comes out at 16.4 Å³ per atom.

***

--- iii ---
Here is a relaxed structure of Pt3Cl from the Alexandria database. Energies are from PBE.

The structure belongs to space group Immm (No. 71); the cell edges are 2.788, 4.991 and 9.517 Å and the angles 90.00°, 90.00° and 90.00°. The inequivalent atoms are Pt at (0.000, 0.000, 0.000), Pt at (0.000, 0.500, 0.255) and Cl at (0.000, 0.000, 0.500).

The volume comes out at 16.6 Å³ per atom.

***

How far above the most stable structure does each one sit? In meV/atom: i 0; ii 398; iii 263.

***

--- i ---
Here is a relaxed structure of Pt3Cl from the Alexandria database. Energies are from PBE.

The structure belongs to space group R-3m (No. 166, hexagonal axes); the cell edges are 3.0922, 3.0922 and 24.3852 Å and the angles 90.00°, 90.00° and 120.00°. The inequivalent atoms are Pt at (0.0000, 0.0000, 0.0000), Pt at (0.0000, 0.0000, 0.2528) and Cl at (0.0000, 0.0000, 0.5000).

The volume comes out at 16.8 Å³ per atom.

***

--- ii ---
Here is a relaxed structure of Pt3Cl from the Alexandria database. Energies are from PBE.

The structure belongs to space group Pm-3m (No. 221); the cell edges are 4.036, 4.036 and 4.036 Å and the angles 90.00°, 90.00° and 90.00°. The inequivalent atoms are Pt at (0.000, 0.000, 0.500) and Cl at (0.500, 0.500, 0.500).

The volume comes out at 16.4 Å³ per atom.

***

--- iii ---
Here is a relaxed structure of Pt3Cl from the Alexandria database. Energies are from PBE.

The structure belongs to space group Pmmn (No. 59, origin choice 2); the cell edges are 4.479, 5.285 and 8.104 Å and the angles 90.00°, 90.00° and 90.00°. The inequivalent atoms are Pt at (0.250, 0.007, 0.161), Pt at (0.250, 0.250, 0.886) and Cl at (0.250, 0.750, 0.406).

The volume comes out at 24.0 Å³ per atom.

***

How far above the most stable structure does each one sit? In meV/atom: i 0; ii 465; iii 14.